Record 1
Compound: Tm8Zn2Pt
Source: Alexandria
Functional: GGA-PBE
Structure: relaxed

abc: 9.040 9.040 6.675
angles: 104.08 104.08 32.18
Atoms (fractional coordinates):
Tm 0.027 0.027 0.279
Tm 0.205 0.205 0.823
Tm 0.340 0.340 0.530
Tm 0.409 0.409 0.056
Tm 0.591 0.591 0.944
Tm 0.660 0.660 0.470
Tm 0.795 0.795 0.177
Tm 0.973 0.973 0.721
Zn 0.188 0.188 0.230
Zn 0.812 0.812 0.770
Pt 0.500 0.500 0.500

## Properties
ΔH_f (0 K): -0.347 eV per atom
calculated total energy: -4.38 eV/atom
SG: No. 12



Record 2
Compound: Tm3ZnPt3
Source: Alexandria
Functional: GGA-PBE
Structure: relaxed

abc: 5.558 5.558 13.868
angles: 90.00 90.00 137.23
Atoms (fractional coordinates):
Tm 0.037 0.963 0.750
Tm 0.308 0.692 0.606
Tm 0.308 0.692 0.894
Tm 0.692 0.308 0.106
Tm 0.692 0.308 0.394
Tm 0.963 0.037 0.250
Zn 0.000 0.000 0.000
Zn 0.000 0.000 0.500
Pt 0.233 0.767 0.250
Pt 0.405 0.595 0.093
Pt 0.405 0.595 0.407
Pt 0.595 0.405 0.593
Pt 0.595 0.405 0.907
Pt 0.767 0.233 0.750

## Properties
energy above the most stable polymorph in this dataset: 0.000 eV/atom
ΔH_f (0 K): -1.138 eV per atom
calculated total energy: -5.83 eV/atom
SG: No. 63



Record 3
Compound: TmZn3Pt4
Source: Alexandria
Functional: GGA-PBE
Structure: relaxed

abc: 9.228 5.869 4.760
angles: 90.00 90.00 90.00
Atoms (fractional coordinates):
Tm 0.000 0.000 0.000
Tm 0.500 0.000 0.000
Zn 0.000 0.500 0.000
Zn 0.250 0.000 0.432
Zn 0.250 0.500 0.395
Zn 0.500 0.500 0.000
Zn 0.750 0.000 0.568
Zn 0.750 0.500 0.605
Pt 0.000 0.262 0.500
Pt 0.000 0.738 0.500
Pt 0.250 0.267 0.896
Pt 0.250 0.733 0.896
Pt 0.500 0.262 0.500
Pt 0.500 0.738 0.500
Pt 0.750 0.267 0.104
Pt 0.750 0.733 0.104

## Properties
ΔH_f (0 K): -0.729 eV per atom
calculated total energy: -4.79 eV/atom
SG: No. 51



Record 4
Compound: TmZrZnPt
Source: Alexandria
Functional: GGA-PBE
Structure: relaxed

abc: 4.829 4.829 4.829
angles: 60.00 60.00 60.00
Atoms (fractional coordinates):
Tm 0.000 0.000 0.000
Zr 0.500 0.500 0.500
Zn 0.750 0.750 0.750
Pt 0.250 0.250 0.250

## Properties
ΔH_f (0 K): -0.657 eV per atom
calculated total energy: -5.74 eV/atom
SG: No. 216



Record 5
Compound: TmZr2Pt9
Source: Alexandria
Functional: GGA-PBE
Structure: relaxed

abc: 4.066 4.066 12.198
angles: 90.00 90.00 90.00
Atoms (fractional coordinates):
Tm 0.000 0.000 0.000
Zr 0.000 0.000 0.332
Zr 0.000 0.000 0.668
Pt 0.000 0.500 0.171
Pt 0.000 0.500 0.500
Pt 0.000 0.500 0.829
Pt 0.500 0.000 0.171
Pt 0.500 0.000 0.500
Pt 0.500 0.000 0.829
Pt 0.500 0.500 0.000
Pt 0.500 0.500 0.336
Pt 0.500 0.500 0.664

## Properties
ΔH_f (0 K): -1.075 eV per atom
calculated total energy: -7.40 eV/atom
SG: No. 123



Record 6
Compound: Tm5ZrPt6
Source: Alexandria
Functional: GGA-PBE
Structure: relaxed

abc: 8.432 8.432 4.856
angles: 106.59 106.59 48.05
Atoms (fractional coordinates):
Tm 0.000 0.000 0.000
Tm 0.165 0.165 0.665
Tm 0.330 0.330 0.328
Tm 0.670 0.670 0.672
Tm 0.835 0.835 0.335
Zr 0.500 0.500 0.000
Pt 0.101 0.582 0.840
Pt 0.269 0.731 0.500
Pt 0.418 0.899 0.160
Pt 0.582 0.101 0.840
Pt 0.731 0.269 0.500
Pt 0.899 0.418 0.160

## Properties
ΔH_f (0 K): -1.220 eV per atom
calculated total energy: -6.82 eV/atom
SG: No. 12



no.,calculated volume (Å³ per cell)
1,281
2,291
3,258
4,80
5,202
6,244